# 1
Material: MgSb2Se
Method: DFT, PBE
State: optimized geometry

Values from the calculation:
Crystal system: tetragonal

Lattice parameters (Å, degrees): 3.544 3.544 7.591 90.00 90.00 89.99
Sites, in units of the cell vectors:
Mg1 0.500 0.500 0.750
Sb1 0.000 0.000 0.999
Sb2 0.000 0.000 0.501
Se1 0.500 0.500 0.250

***

# 2
Material: MgSbSe2
Method: DFT, PBE
State: optimized geometry

Values from the calculation:
Crystal system: tetragonal

Lattice parameters (Å, degrees): 4.147 4.147 5.718 90.00 90.00 90.00
Sites, in units of the cell vectors:
Mg1 0.000 0.000 0.376
Sb1 0.500 0.500 0.875
Se1 0.000 0.000 0.875
Se2 0.500 0.500 0.375

***

# 3
Material: MgSbSe2
Method: DFT, PBE
State: optimized geometry

Values from the calculation:
Crystal system: cubic

Lattice parameters (Å, degrees): 5.016 5.016 5.016 60.00 60.00 60.00
Sites, in units of the cell vectors:
Sb1 0.500 0.500 0.500
Mg1 0.000 0.000 0.000
Se1 0.250 0.250 0.250
Se2 0.750 0.750 0.750

***

# 4
Material: MgSb2Se
Method: DFT, PBE
State: optimized geometry

Values from the calculation:
Crystal system: monoclinic

Lattice parameters (Å, degrees): 4.203 5.359 5.467 67.11 90.00 90.00
Sites, in units of the cell vectors:
Mg1 0.500 0.708 0.719
Sb1 0.000 0.045 0.984
Sb2 0.500 0.232 0.241
Se1 0.000 0.516 0.556

***

Number 1: formation energy (no corrections) 0.05 eV per atom, electronic total energy -13.136 eV/cell. Number 2: formation energy (no corrections) -0.54 eV per atom, electronic total energy -14.849 eV/cell. Number 3: formation energy (no corrections) -0.25 eV per atom, electronic total energy -13.670 eV/cell. Number 4: formation energy (no corrections) -0.34 eV per atom, electronic total energy -14.688 eV/cell.